TaTlAg PBE relaxed; calculated volume = 22.74 Å³/atom; magnetization = 0.7 μB per cell; total energy = -4.571 eV/atom
1.0
-4.2831 -1.0478 1.2617
-3.4560 2.8267 -1.0489
-3.0869 -1.2269 -3.1623
Ta Tl Ag
1 1 1
Direct
0.7500 0.7500 0.7500
0.0000 0.0000 0.0000
0.2500 0.2500 0.2500